(1)
The following is a PBE-GGA calculation of a relaxed Th6Co2PdC3 crystal, from Alexandria.

Output
- magnetization (μB per formula unit) = 0.00
- total energy (Ha/atom) = -0.28949
- calculated formation energy (eV per atom) = -0.2445

abc: 8.9603 8.9603 8.1159
angles: 108.75 108.75 24.22
Positions (direct):
Th  0.0094  0.0094  0.2254
Th  0.3242  0.3242  0.4297
Th  0.3339  0.3339  0.9114
Th  0.6661  0.6661  0.0886
Th  0.6758  0.6758  0.5703
Th  0.9906  0.9906  0.7746
Co  0.1621  0.1621  0.8211
Co  0.8379  0.8379  0.1789
Pd  0.5000  0.5000  0.5000
C  0.1669  0.1669  0.3293
C  0.5000  0.5000  0.0000
C  0.8331  0.8331  0.6707

***

(2)
The following is a PBE-GGA calculation of a relaxed Rb2DyCrS4 crystal, from Alexandria.

Output
- magnetization (μB per formula unit) = 3.00
- total energy (Ha/atom) = -0.19318
- formation energy without anion corrections (meV/atom) = -1172.9

abc: 6.9264 6.9264 6.9264
angles: 115.67 115.67 97.67
Positions (direct):
Rb  0.0000  0.0000  0.0000
Rb  0.7500  0.2500  0.5000
Dy  0.2500  0.7500  0.5000
Cr  0.5000  0.5000  0.0000
S  0.2391  0.6278  0.0819
S  0.3722  0.4542  0.6113
S  0.5458  0.1571  0.9181
S  0.8429  0.7609  0.3887

***

(3)
The following is a PBE-GGA calculation of a relaxed Dy2GePRh6 crystal, from Alexandria.

Output
- magnetization (μB per formula unit) = 0.00
- total energy (Ha/atom) = -0.25712
- calculated formation energy (eV per atom) = -0.6626

abc: 5.7135 8.6031 7.3998
angles: 90.00 90.00 90.00
Positions (direct):
Dy  0.2500  0.0261  0.2235
Dy  0.2500  0.4739  0.2235
Dy  0.7500  0.5261  0.7765
Dy  0.7500  0.9739  0.7765
Ge  0.2500  0.7500  0.7907
Ge  0.7500  0.2500  0.2093
P  0.2500  0.2500  0.7227
P  0.7500  0.7500  0.2773
Rh  0.0111  0.7500  0.0593
Rh  0.0138  0.7500  0.5011
Rh  0.2500  0.9996  0.6219
Rh  0.2500  0.5004  0.6219
Rh  0.4862  0.7500  0.5011
Rh  0.4889  0.7500  0.0593
Rh  0.5111  0.2500  0.9407
Rh  0.5138  0.2500  0.4989
Rh  0.7500  0.0004  0.3781
Rh  0.7500  0.4996  0.3781
Rh  0.9862  0.2500  0.4989
Rh  0.9889  0.2500  0.9407

***

(4)
The following is a PBE-GGA calculation of a relaxed Sc2ZnSb crystal, from Alexandria.

Output
- magnetization (μB per formula unit) = 0.08
- total energy (Ha/atom) = -0.18490
- formation energy without anion corrections (meV/atom) = -516.6

abc: 4.5875 4.5875 3.9722
angles: 90.00 90.00 90.00
Positions (direct):
Sc  0.0000  0.5000  0.0000
Sc  0.5000  0.0000  0.0000
Zn  0.0000  0.0000  0.5000
Sb  0.5000  0.5000  0.5000

***

(5)
The following is a PBE-GGA calculation of a relaxed TcSe2I crystal, from Alexandria.

Output
- magnetization (μB per formula unit) = 0.00
- total energy (Ha/atom) = -0.15304
- formation energy without anion corrections (meV/atom) = 556.9

abc: 13.3725 13.3725 13.3725
angles: 13.17 13.17 13.17
Positions (direct):
Tc  0.0000  0.0000  0.0000
Se  0.0598  0.0598  0.0598
Se  0.9402  0.9402  0.9402
I  0.5000  0.5000  0.5000

***

(6)
The following is a PBE-GGA calculation of a relaxed YTcGe2 crystal, from Alexandria.

Output
- magnetization (μB per formula unit) = 2.88
- total energy (Ha/atom) = -0.20389
- calculated formation energy (eV per atom) = 0.9681

abc: 7.0621 7.0621 7.0621
angles: 39.16 39.16 39.16
Positions (direct):
Y  0.0000  0.0000  0.0000
Tc  0.5000  0.5000  0.5000
Ge  0.3771  0.3771  0.3771
Ge  0.6229  0.6229  0.6229

***

(7)
The following is a PBE-GGA calculation of a relaxed Ac2HoCdPd6 crystal, from Alexandria.

Output
- magnetization (μB per formula unit) = 0.00
- total energy (Ha/atom) = -0.17263
- calculated formation energy (eV per atom) = -0.2107

abc: 7.1514 7.1514 7.1514
angles: 60.00 60.00 60.00
Positions (direct):
Ac  0.2500  0.2500  0.2500
Ac  0.7500  0.7500  0.7500
Ho  0.0000  0.0000  0.0000
Cd  0.5000  0.5000  0.5000
Pd  0.2495  0.2495  0.7505
Pd  0.2495  0.7505  0.2495
Pd  0.2495  0.7505  0.7505
Pd  0.7505  0.2495  0.2495
Pd  0.7505  0.2495  0.7505
Pd  0.7505  0.7505  0.2495

***

(8)
The following is a PBE-GGA calculation of a relaxed YHoErCd crystal, from Alexandria.

Output
- magnetization (μB per formula unit) = 0.02
- total energy (Ha/atom) = -0.15255
- calculated formation energy (eV per atom) = -0.0212

abc: 5.4247 5.4247 5.4247
angles: 60.00 60.00 60.00
Positions (direct):
Y  0.0000  0.0000  0.0000
Ho  0.5000  0.5000  0.5000
Er  0.2500  0.2500  0.2500
Cd  0.7500  0.7500  0.7500